No. 1
A relaxed PuScPd4 crystal, computed with PBE.

Lattice parameters (Å, degrees): 7.6143 7.6143 7.6143 90.00 90.00 90.00
Last column: nearest neighbours and their distance in Å.
Space group F-43m (No. 216)
Symmetry-distinct sites (fractional):
Pu: 0.0000 0.0000 0.0000  12 Pd 3.16, 4 Sc 3.30
Sc: 0.2500 0.2500 0.2500  12 Pd 3.16, 4 Pu 3.30
Pd: 0.1249 0.1249 0.6249  6 Pd 2.69

Output
Formation energy from the elements = -338 kJ/mol of formula units
Magnetic moment = 0.902 μB per atom

---

No. 2
A relaxed PuSc4Pd5 crystal, computed with PBE.

Lattice parameters (Å, degrees): 3.2836 3.2836 17.4272 90.00 90.00 90.00
Last column: nearest neighbours and their distance in Å.
Space group P4/mmm (No. 123)
Symmetry-distinct sites (fractional):
Pu: 0.0000 0.0000 0.0000  8 Pd 3.14, 4 Pu 3.28
Sc: 0.0000 0.0000 0.2085  8 Pd 2.77-2.90
Sc: 0.0000 0.0000 0.4031  8 Pd 2.85-2.87
Pd: 0.5000 0.5000 0.1213  4 Sc 2.77
Pd: 0.5000 0.5000 0.3081  8 Sc 2.85-2.90
Pd: 0.5000 0.5000 0.5000  8 Sc 2.87

Output
Formation energy from the elements = -780 kJ/mol of formula units
Magnetic moment = 0.581 μB per atom